(1)
The following is a PBE calculation of AcSmZn4 after structural relaxation, from Alexandria via LeMat-Bulk.

Summary:
The size of the total moment is 0.00 μB per cell. The calculation puts the energy of formation at -0.2732 eV/atom. For the energy relative to the lowest polymorph listed for this composition, the calculation gives 0.007 eV per atom. As for the density of states at the Fermi level: 0.532 states/eV per atom.

```
data_AcSmZn4
_chemical_formula_sum 'Ac4 Sm4 Zn16'
_cell_length_a 8.0428
_cell_length_b 8.0428
_cell_length_c 8.0428
_cell_angle_alpha 90.00
_cell_angle_beta 90.00
_cell_angle_gamma 90.00
_symmetry_space_group_name_H-M 'F -4 3 m'
_symmetry_Int_Tables_number 216
_symmetry_space_group_name_Hall 'F -4 2 3'
loop_
_atom_site_label
_atom_site_type_symbol
_atom_site_fract_x
_atom_site_fract_y
_atom_site_fract_z
_atom_site_occupancy
Ac1 Ac 0.0000 0.0000 0.0000 1
Sm1 Sm 0.2500 0.2500 0.7500 1
Zn1 Zn 0.1233 0.1233 0.3767 1
```



(2)
The following is a PBE calculation of BAs2PdSe after structural relaxation, from Alexandria via LeMat-Bulk.

Summary:
For the raw formation energy, the calculation gives 1.365 eV/atom. The size of the total moment is 0.00 μB per cell. For the energy relative to the lowest polymorph listed for this composition, the calculation gives 0.674 eV per atom. As for the density of states at the Fermi level: 0.770 states/eV per atom.

```
data_BAs2PdSe
_chemical_formula_sum 'B1 As2 Pd1 Se1'
_cell_length_a 4.7873
_cell_length_b 4.7873
_cell_length_c 5.2081
_cell_angle_alpha 90.00
_cell_angle_beta 90.00
_cell_angle_gamma 90.00
_symmetry_space_group_name_H-M 'P 4/m m m'
_symmetry_Int_Tables_number 123
_symmetry_space_group_name_Hall '-P 4 2'
loop_
_atom_site_label
_atom_site_type_symbol
_atom_site_fract_x
_atom_site_fract_y
_atom_site_fract_z
_atom_site_occupancy
B1 B 0.0000 0.0000 0.0000 1
As1 As 0.0000 0.5000 0.5000 1
Pd1 Pd 0.5000 0.5000 0.5000 1
Se1 Se 0.5000 0.5000 0.0000 1
```



(3)
The following is a PBE calculation of YMnPdRh after structural relaxation, from Alexandria via LeMat-Bulk.

Summary:
The size of the total moment is 17.87 μB per cell. The calculation puts the energy of formation at -0.4849 eV/atom. As for the density of states at the Fermi level: 0.667 states/eV per atom.

```
data_YMnPdRh
_chemical_formula_sum 'Y4 Mn4 Pd4 Rh4'
_cell_length_a 6.5804
_cell_length_b 6.5804
_cell_length_c 6.5804
_cell_angle_alpha 90.00
_cell_angle_beta 90.00
_cell_angle_gamma 90.00
_symmetry_space_group_name_H-M 'F -4 3 m'
_symmetry_Int_Tables_number 216
_symmetry_space_group_name_Hall 'F -4 2 3'
loop_
_atom_site_label
_atom_site_type_symbol
_atom_site_fract_x
_atom_site_fract_y
_atom_site_fract_z
_atom_site_occupancy
Y1 Y 0.0000 0.0000 0.0000 1
Mn1 Mn 0.0000 0.0000 0.5000 1
Pd1 Pd 0.2500 0.2500 0.2500 1
Rh1 Rh 0.2500 0.2500 0.7500 1
```



(4)
The following is a PBE calculation of NdPuTh2 after structural relaxation, from Alexandria via LeMat-Bulk.

Summary:
The size of the total moment is 16.44 μB per cell. The calculation puts the energy of formation at 0.1314 eV/atom. For the energy relative to the lowest polymorph listed for this composition, the calculation gives 0.010 eV per atom. As for the density of states at the Fermi level: 2.904 states/eV per atom.

```
data_NdPuTh2
_chemical_formula_sum 'Nd3 Pu3 Th6'
_cell_length_a 3.5562
_cell_length_b 3.5562
_cell_length_c 34.6290
_cell_angle_alpha 90.00
_cell_angle_beta 90.00
_cell_angle_gamma 120.00
_symmetry_space_group_name_H-M 'R 3 m'
_symmetry_Int_Tables_number 160
_symmetry_space_group_name_Hall 'R 3 -2"'
loop_
_atom_site_label
_atom_site_type_symbol
_atom_site_fract_x
_atom_site_fract_y
_atom_site_fract_z
_atom_site_occupancy
Nd1 Nd 0.0000 0.0000 0.0000 1
Pu1 Pu 0.0000 0.0000 0.8301 1
Th1 Th 0.0000 0.0000 0.2445 1
Th2 Th 0.0000 0.0000 0.4189 1
```



| no. | E (eV for the cell shown) |
| --- | --- |
| 1 | -62.3 |
| 2 | -17.8 |
| 3 | -120.5 |
| 4 | -100.2 |